No. 1
# GGA-PBE Cs2NpSe6, relaxed
data_Cs2NpSe6
_chemical_formula_sum 'Cs4 Np2 Se12'
_cell_length_a 15.110
_cell_length_b 9.411
_cell_length_c 4.533
_cell_angle_alpha 90.00
_cell_angle_beta 96.28
_cell_angle_gamma 90.00
_symmetry_space_group_name_H-M 'C 1 2/m 1'
_symmetry_Int_Tables_number 12
loop_
_symmetry_equiv_pos_as_xyz
'x,y,z'
'-x,-y,-z'
'-x,y,-z'
'x,-y,z'
'x+1/2,y+1/2,z'
'-x+1/2,-y+1/2,-z'
'-x+1/2,y+1/2,-z'
'x+1/2,-y+1/2,z'
loop_
_atom_site_label
_atom_site_type_symbol
_atom_site_fract_x
_atom_site_fract_y
_atom_site_fract_z
Cs1 Cs 0.197 0.000 0.456
Np1 Np 0.000 0.500 0.000
Se1 Se 0.000 0.292 0.500
Se2 Se 0.131 0.300 0.927
# E_form (uncorrected): -767.3 meV/atom
# Electronic total energy: -0.1734 Ha/atom
# Magnetization: 3.32 Bohr magnetons per cell

No. 2
# GGA-PBE Pr2SnSbPd6, relaxed
data_Pr2SnSbPd6
_chemical_formula_sum 'Pr2 Sn1 Sb1 Pd6'
_cell_length_a 5.235
_cell_length_b 6.807
_cell_length_c 7.165
_cell_angle_alpha 111.86
_cell_angle_beta 105.24
_cell_angle_gamma 104.13
_symmetry_space_group_name_H-M 'P -1'
_symmetry_Int_Tables_number 2
loop_
_symmetry_equiv_pos_as_xyz
'x,y,z'
'-x,-y,-z'
loop_
_atom_site_label
_atom_site_type_symbol
_atom_site_fract_x
_atom_site_fract_y
_atom_site_fract_z
Pr1 Pr 0.180 0.337 0.178
Sn1 Sn 0.000 0.000 0.500
Sb1 Sb 0.500 0.000 0.000
Pd1 Pd 0.218 0.707 0.575
Pd2 Pd 0.257 0.447 0.818
Pd3 Pd 0.341 0.839 0.265
# E_form (uncorrected): -627.4 meV/atom
# Electronic total energy: -0.2025 Ha/atom
# Magnetization: 0.00 Bohr magnetons per cell

No. 3
# GGA-PBE Tl2SiMo, relaxed
data_Tl2SiMo
_chemical_formula_sum 'Tl2 Si1 Mo1'
_cell_length_a 3.293
_cell_length_b 3.293
_cell_length_c 8.295
_cell_angle_alpha 90.00
_cell_angle_beta 90.00
_cell_angle_gamma 90.00
_symmetry_space_group_name_H-M 'P 4 m m'
_symmetry_Int_Tables_number 99
loop_
_symmetry_equiv_pos_as_xyz
'x,y,z'
'-y,x,z'
'-x,-y,z'
'y,-x,z'
'-x,y,z'
'y,x,z'
'x,-y,z'
'-y,-x,z'
loop_
_atom_site_label
_atom_site_type_symbol
_atom_site_fract_x
_atom_site_fract_y
_atom_site_fract_z
Tl1 Tl 0.000 0.000 0.000
Tl2 Tl 0.500 0.500 0.348
Si1 Si 0.500 0.500 0.715
Mo1 Mo 0.000 0.000 0.604
# E_form (uncorrected): 299.4 meV/atom
# Electronic total energy: -0.1818 Ha/atom
# Magnetization: 0.00 Bohr magnetons per cell

No. 4
# GGA-PBE AcCe2HoS4, relaxed
data_AcCe2HoS4
_chemical_formula_sum 'Ac1 Ce2 Ho1 S4'
_cell_length_a 7.046
_cell_length_b 4.049
_cell_length_c 7.089
_cell_angle_alpha 90.00
_cell_angle_beta 109.14
_cell_angle_gamma 90.00
_symmetry_space_group_name_H-M 'P 1 2/m 1'
_symmetry_Int_Tables_number 10
loop_
_symmetry_equiv_pos_as_xyz
'x,y,z'
'-x,-y,-z'
'-x,y,-z'
'x,-y,z'
loop_
_atom_site_label
_atom_site_type_symbol
_atom_site_fract_x
_atom_site_fract_y
_atom_site_fract_z
Ac1 Ac 0.000 0.000 0.000
Ce1 Ce 0.500 0.000 0.500
Ce2 Ce 0.500 0.500 0.000
Ho1 Ho 0.000 0.500 0.500
S1 S 0.245 0.000 0.733
S2 S 0.256 0.500 0.269
# E_form (uncorrected): -1980.1 meV/atom
# Electronic total energy: -0.2430 Ha/atom
# Magnetization: 1.70 Bohr magnetons per cell

No. 5
# GGA-PBE KP2CO, relaxed
data_KP2CO
_chemical_formula_sum 'K1 P2 C1 O1'
_cell_length_a 6.680
_cell_length_b 6.680
_cell_length_c 4.837
_cell_angle_alpha 90.00
_cell_angle_beta 90.00
_cell_angle_gamma 90.00
_symmetry_space_group_name_H-M 'P 4/m m m'
_symmetry_Int_Tables_number 123
_symmetry_space_group_name_Hall '-P 4 2'
loop_
_atom_site_label
_atom_site_type_symbol
_atom_site_fract_x
_atom_site_fract_y
_atom_site_fract_z
K1 K 0.000 0.000 0.000
P1 P 0.000 0.500 0.000
C1 C 0.500 0.500 0.500
O1 O 0.000 0.000 0.500
# E_form (uncorrected): 2894.6 meV/atom
# Electronic total energy: -0.0855 Ha/atom
# Magnetization: 8.99 Bohr magnetons per cell

No. 6
# GGA-PBE SrTl2Hg2Bi2, relaxed
data_SrTl2Hg2Bi2
_chemical_formula_sum 'Sr3 Tl6 Hg6 Bi6'
_cell_length_a 5.2161
_cell_length_b 5.2161
_cell_length_c 29.8671
_cell_angle_alpha 90.00
_cell_angle_beta 90.00
_cell_angle_gamma 120.00
_symmetry_space_group_name_H-M 'R -3 m'
_symmetry_Int_Tables_number 166
_symmetry_space_group_name_Hall '-R 3 2"'
loop_
_atom_site_label
_atom_site_type_symbol
_atom_site_fract_x
_atom_site_fract_y
_atom_site_fract_z
Sr1 Sr 0.0000 0.0000 0.0000
Tl1 Tl 0.0000 0.0000 0.1366
Hg1 Hg 0.0000 0.0000 0.3836
Bi1 Bi 0.0000 0.0000 0.2537
# Electronic total energy: -0.0866 Ha/atom
# Magnetization: 0.00 Bohr magnetons per cell
# ΔE_f: -5.64 kcal/mol of atoms

No. 7
# GGA-PBE CuAsRu2, relaxed
data_CuAsRu2
_chemical_formula_sum 'Cu1 As1 Ru2'
_cell_length_a 2.848
_cell_length_b 3.716
_cell_length_c 5.320
_cell_angle_alpha 90.00
_cell_angle_beta 90.00
_cell_angle_gamma 90.00
_symmetry_space_group_name_H-M 'P m m 2'
_symmetry_Int_Tables_number 25
loop_
_symmetry_equiv_pos_as_xyz
'x,y,z'
'-x,-y,z'
'-x,y,z'
'x,-y,z'
loop_
_atom_site_label
_atom_site_type_symbol
_atom_site_fract_x
_atom_site_fract_y
_atom_site_fract_z
Cu1 Cu 0.000 0.000 0.000
As1 As 0.500 0.500 0.742
Ru1 Ru 0.000 0.000 0.484
Ru2 Ru 0.500 0.500 0.238
# Electronic total energy: -0.2438 Ha/atom
# Magnetization: 0.00 Bohr magnetons per cell
# ΔE_f: 4.37 kcal/mol of atoms

No. 8
# GGA-PBE MoIrC2, relaxed
data_MoIrC2
_chemical_formula_sum 'Mo4 Ir4 C8'
_cell_length_a 5.439
_cell_length_b 5.439
_cell_length_c 5.439
_cell_angle_alpha 90.00
_cell_angle_beta 90.00
_cell_angle_gamma 90.00
_symmetry_space_group_name_H-M 'F m -3 m'
_symmetry_Int_Tables_number 225
_symmetry_space_group_name_Hall '-F 4 2 3'
loop_
_atom_site_label
_atom_site_type_symbol
_atom_site_fract_x
_atom_site_fract_y
_atom_site_fract_z
Mo1 Mo 0.000 0.000 0.000
Ir1 Ir 0.000 0.000 0.500
C1 C 0.250 0.250 0.250
# Electronic total energy: -0.3080 Ha/atom
# Magnetization: 0.00 Bohr magnetons per cell
# ΔE_f: 26.60 kcal/mol of atoms

No. 9
# GGA-PBE Pm6TmTh, relaxed
data_Pm6TmTh
_chemical_formula_sum 'Pm6 Tm1 Th1'
_cell_length_a 5.118
_cell_length_b 5.118
_cell_length_c 10.230
_cell_angle_alpha 90.00
_cell_angle_beta 90.00
_cell_angle_gamma 90.00
_symmetry_space_group_name_H-M 'P 4/m m m'
_symmetry_Int_Tables_number 123
_symmetry_space_group_name_Hall '-P 4 2'
loop_
_atom_site_label
_atom_site_type_symbol
_atom_site_fract_x
_atom_site_fract_y
_atom_site_fract_z
Pm1 Pm 0.000 0.000 0.000
Pm2 Pm 0.000 0.000 0.500
Pm3 Pm 0.000 0.500 0.249
Tm1 Tm 0.500 0.500 0.500
Th1 Th 0.500 0.500 0.000
# Electronic total energy: -0.1841 Ha/atom
# Magnetization: 0.00 Bohr magnetons per cell
# ΔE_f: 0.94 kcal/mol of atoms

No. 10
# GGA-PBE MnTeI3, relaxed
data_MnTeI3
_chemical_formula_sum 'Mn1 Te1 I3'
_cell_length_a 6.063
_cell_length_b 6.063
_cell_length_c 6.063
_cell_angle_alpha 90.00
_cell_angle_beta 90.00
_cell_angle_gamma 90.00
_symmetry_space_group_name_H-M 'P m -3 m'
_symmetry_Int_Tables_number 221
_symmetry_space_group_name_Hall '-P 4 2 3'
loop_
_atom_site_label
_atom_site_type_symbol
_atom_site_fract_x
_atom_site_fract_y
_atom_site_fract_z
Mn1 Mn 0.000 0.000 0.000
Te1 Te 0.500 0.500 0.500
I1 I 0.000 0.500 0.500
# E_form (uncorrected): 464.4 meV/atom
# Electronic total energy: -0.1076 Ha/atom
# Magnetization: 5.82 Bohr magnetons per cell

No. 11
# GGA-PBE LiLaGdEr, relaxed
data_LiLaGdEr
_chemical_formula_sum 'Li4 La4 Gd4 Er4'
_cell_length_a 7.884
_cell_length_b 7.884
_cell_length_c 7.884
_cell_angle_alpha 90.00
_cell_angle_beta 90.00
_cell_angle_gamma 90.00
_symmetry_space_group_name_H-M 'F -4 3 m'
_symmetry_Int_Tables_number 216
_symmetry_space_group_name_Hall 'F -4 2 3'
loop_
_atom_site_label
_atom_site_type_symbol
_atom_site_fract_x
_atom_site_fract_y
_atom_site_fract_z
Li1 Li 0.000 0.000 0.000
La1 La 0.250 0.250 0.250
Gd1 Gd 0.250 0.250 0.750
Er1 Er 0.000 0.000 0.500
# Electronic total energy: -0.2285 Ha/atom
# Magnetization: 29.50 Bohr magnetons per cell
# ΔE_f: 3.52 kcal/mol of atoms

No. 12
# GGA-PBE FeRh5, relaxed
data_FeRh5
_chemical_formula_sum 'Fe1 Rh5'
_cell_length_a 5.0292
_cell_length_b 5.0292
_cell_length_c 4.3970
_cell_angle_alpha 90.00
_cell_angle_beta 90.00
_cell_angle_gamma 120.00
_symmetry_space_group_name_H-M 'P 6/m m m'
_symmetry_Int_Tables_number 191
_symmetry_space_group_name_Hall '-P 6 2'
loop_
_atom_site_label
_atom_site_type_symbol
_atom_site_fract_x
_atom_site_fract_y
_atom_site_fract_z
Fe1 Fe 0.0000 0.0000 0.0000
Rh1 Rh 0.0000 0.5000 0.5000
Rh2 Rh 0.3333 0.6667 0.0000
# Electronic total energy: -0.2583 Ha/atom
# Magnetization: 4.15 Bohr magnetons per cell
# ΔE_f: 11.74 kcal/mol of atoms